Record 1
A relaxed structure of SeSNF2. Source: Alexandria via LeMat-Bulk, functional PBE.

Properties
total energy	-3.404	eV/atom
E above lowest polymorph	98.3	meV per atom
energy relative to the elements, uncorrected	0.532	eV/atom

Unit cell a=4.4785 b=4.4785 c=3.7629 alpha=90.00 beta=90.00 gamma=90.00
Sites, in units of the cell vectors:
Se: 0.0000 0.0000 0.0000
S: 0.5000 0.5000 0.5000
N: 0.0000 0.0000 0.5000
F: 0.0000 0.5000 0.0000
F: 0.5000 0.0000 0.0000

=====

Record 2
A relaxed structure of Se2SNF. Source: Alexandria via LeMat-Bulk, functional PBE.

Properties
total energy	-2.682	eV/atom
E above lowest polymorph	658.6	meV per atom
energy relative to the elements, uncorrected	1.577	eV/atom

Unit cell a=4.6839 b=4.6839 c=4.0129 alpha=90.00 beta=90.00 gamma=90.00
Sites, in units of the cell vectors:
Se: 0.0000 0.5000 0.0000
Se: 0.5000 0.0000 0.0000
S: 0.0000 0.0000 0.5000
N: 0.5000 0.5000 0.5000
F: 0.5000 0.5000 0.0000